Record 1
! NbGaHRu2 GGA-PBE relaxed; values from VASP
! - space group = No. 123
! - raw total energy (eV for the cell shown) = -35.7
&SYSTEM
  ibrav = 0, nat = 5, ntyp = 4
/
ATOMIC_SPECIES
H 1.01 H.upf
Ru 101.07 Ru.upf
Ga 69.72 Ga.upf
Nb 92.91 Nb.upf
CELL_PARAMETERS angstrom
4.059 0.000 0.000
0.000 4.059 0.000
0.000 0.000 3.830
ATOMIC_POSITIONS angstrom
H 0.000 0.000 0.000
Ru 2.030 0.000 0.000
Ru 0.000 2.030 0.000
Ga 2.030 2.030 1.915
Nb 0.000 0.000 1.915

Record 2
! YTe2Mo GGA-PBE relaxed; values from VASP
! - E above lowest polymorph (meV per atom) = 66
! - space group = No. 8
! - raw total energy (eV for the cell shown) = -24.8
&SYSTEM
  ibrav = 0, nat = 4, ntyp = 3
/
ATOMIC_SPECIES
Te 127.60 Te.upf
Y 88.91 Y.upf
Mo 95.94 Mo.upf
CELL_PARAMETERS angstrom
-5.044 -1.996 -0.198
-3.457 -3.079 2.835
-2.970 3.459 2.789
ATOMIC_POSITIONS angstrom
Te -8.616 -1.309 4.042
Y -5.932 -0.671 2.865
Te -8.520 -4.710 2.777
Mo -2.640 -0.809 1.093

Record 3
! SrGeHPt2 GGA-PBE relaxed; values from VASP
! - space group = No. 63
! - raw total energy (eV for the cell shown) = -50.5
&SYSTEM
  ibrav = 0, nat = 10, ntyp = 4
/
ATOMIC_SPECIES
H 1.01 H.upf
Pt 195.08 Pt.upf
Ge 72.64 Ge.upf
Sr 87.62 Sr.upf
CELL_PARAMETERS angstrom
-1.946 2.417 -2.487
-3.223 -4.983 0.859
-3.427 3.217 5.808
ATOMIC_POSITIONS angstrom
H -1.713 1.609 2.904
Pt -4.016 -1.174 -1.179
Ge -3.104 -1.217 1.246
Ge -5.492 1.869 2.934
Sr -6.377 -1.012 4.007
Pt -5.344 0.073 1.073
Sr -2.219 1.663 0.173
H 0.000 0.000 0.000
Pt -4.580 1.826 5.358
Pt -3.252 0.579 3.107

Record 4
! Sr4In13Au9 GGA-PBE relaxed; values from VASP
! - space group = No. 187
! - raw total energy (eV for the cell shown) = -83.9
&SYSTEM
  ibrav = 0, nat = 26, ntyp = 3
/
ATOMIC_SPECIES
In 114.82 In.upf
Sr 87.62 Sr.upf
Au 196.97 Au.upf
CELL_PARAMETERS angstrom
12.968 0.000 0.000
-6.484 11.231 0.000
0.000 0.000 4.458
ATOMIC_POSITIONS angstrom
In 8.842 0.529 0.000
Sr -2.436 8.893 2.229
Au 2.333 6.140 0.000
In 10.447 3.308 0.000
Au 0.000 10.181 0.000
Au 8.783 2.416 2.229
In 3.866 5.255 2.229
In 0.000 7.487 0.000
Au 0.000 1.990 0.000
In 8.089 7.393 0.000
In 4.879 7.393 0.000
Sr 0.000 4.674 2.229
In 6.484 9.368 2.229
In 4.126 0.529 0.000
In 1.613 0.931 2.229
In 11.355 0.931 2.229
Sr 2.436 8.893 2.229
Au -4.761 10.236 0.000
In 6.484 0.720 2.229
Au 4.761 10.236 0.000
Au -2.333 6.140 0.000
Au 4.185 2.416 2.229
Sr 6.484 3.744 0.000
In 9.102 5.255 2.229
Au 6.484 6.398 2.229
In 2.521 3.308 0.000

Record 5
! Re24W5 GGA-PBE relaxed; values from VASP
! - space group = No. 217
! - raw total energy (eV for the cell shown) = -363.5
&SYSTEM
  ibrav = 0, nat = 29, ntyp = 2
/
ATOMIC_SPECIES
Re 186.21 Re.upf
W 183.84 W.upf
CELL_PARAMETERS angstrom
8.345 0.000 0.000
-2.782 7.868 0.000
-2.782 -3.934 6.814
ATOMIC_POSITIONS angstrom
Re 4.600 -1.579 2.735
Re -3.022 3.810 2.735
Re 3.979 5.627 1.244
Re -0.240 -0.340 4.881
Re 2.600 1.522 0.000
Re -3.022 0.463 4.667
Re 3.350 2.455 4.251
W 0.997 1.409 2.441
Re -1.584 2.197 1.318
W 5.355 0.000 0.000
W 0.000 0.000 0.000
Re 4.600 3.158 0.000
W -1.785 5.049 0.000
Re 1.198 3.977 4.251
Re 2.541 -0.124 4.079
Re -1.584 0.043 2.562
Re 3.979 -1.736 5.495
Re -0.964 2.355 4.079
Re 4.226 1.239 2.146
Re -2.964 3.173 5.495
Re 1.444 5.389 0.000
Re 0.568 -1.479 2.562
Re 1.444 -2.695 4.667
Re -0.240 4.397 2.146
Re 2.541 3.594 1.932
Re 1.198 1.694 5.570
Re 2.600 -0.761 1.318
W -1.785 -2.524 4.372
Re 0.568 2.958 0.000

Record 6
! LaTb4Se5 GGA-PBE relaxed; values from VASP
! - space group = No. 12
! - raw total energy (eV for the cell shown) = -59.0
&SYSTEM
  ibrav = 0, nat = 10, ntyp = 3
/
ATOMIC_SPECIES
Tb 158.93 Tb.upf
Se 78.96 Se.upf
La 138.91 La.upf
CELL_PARAMETERS angstrom
4.027 0.000 0.920
1.699 6.733 1.837
0.007 0.004 9.244
ATOMIC_POSITIONS angstrom
Tb 4.250 4.108 9.221
Se 3.603 4.584 2.777
Tb 1.484 2.629 2.780
Tb 2.752 1.363 6.503
La 0.000 0.000 0.000
Se 2.361 6.079 8.218
Se 3.373 0.658 3.783
Se 2.131 2.153 9.224
Se 0.853 3.369 5.541
Tb 2.982 5.374 5.498

Record 7
! Rb2Sb2Te GGA-PBE relaxed; values from VASP
! - space group = No. 127
! - raw total energy (eV for the cell shown) = -30.0
&SYSTEM
  ibrav = 0, nat = 10, ntyp = 3
/
ATOMIC_SPECIES
Rb 85.47 Rb.upf
Sb 121.76 Sb.upf
Te 127.60 Te.upf
CELL_PARAMETERS angstrom
-7.499 1.768 2.855
-3.028 -6.582 -3.876
1.023 -3.232 4.688
ATOMIC_POSITIONS angstrom
Rb -6.640 -2.287 3.442
Rb -7.057 -5.837 1.086
Rb -2.864 -5.758 0.226
Sb -2.075 -2.243 -1.093
Sb -8.452 -2.571 0.072
Te 0.000 0.000 0.000
Sb -5.456 -5.094 -2.320
Rb -2.447 -2.209 2.581
Te -5.264 -2.407 -0.511
Sb -5.071 0.280 1.299

Record 8
! ZrSc5Ru4 GGA-PBE relaxed; values from VASP
! - space group = No. 123
! - raw total energy (eV for the cell shown) = -81.9
&SYSTEM
  ibrav = 0, nat = 10, ntyp = 3
/
ATOMIC_SPECIES
Sc 44.96 Sc.upf
Ru 101.07 Ru.upf
Zr 91.22 Zr.upf
CELL_PARAMETERS angstrom
-1.376 1.430 -2.536
2.368 -1.082 -1.895
-9.144 -14.442 -3.181
ATOMIC_POSITIONS angstrom
Sc -0.751 -1.795 -2.649
Sc -2.406 -4.408 -3.225
Sc -7.402 -12.298 -4.962
Ru -3.726 -5.885 -1.296
Ru -7.134 -11.267 -2.481
Zr 0.000 0.000 0.000
Ru -5.418 -8.557 -1.885
Sc -4.076 -7.047 -3.806
Sc -5.747 -9.686 -4.387
Ru -2.011 -3.175 -0.699

Record 9
! Tl4HgAu2S GGA-PBE relaxed; values from VASP
! - space group = No. 10
! - raw total energy (eV for the cell shown) = -20.9
&SYSTEM
  ibrav = 0, nat = 8, ntyp = 4
/
ATOMIC_SPECIES
Au 196.97 Au.upf
Tl 204.38 Tl.upf
Hg 200.59 Hg.upf
S 32.06 S.upf
CELL_PARAMETERS angstrom
-4.039 -1.045 -0.955
2.352 -7.219 -2.048
-1.666 0.128 6.905
ATOMIC_POSITIONS angstrom
Au 0.343 -3.546 2.429
Tl 1.296 -5.282 0.296
Tl -0.611 -1.809 4.561
Tl -1.551 -5.660 3.159
Hg 0.000 0.000 0.000
S -0.844 -4.132 -1.501
Tl -1.803 -2.476 0.742
Au -2.853 -0.459 2.975

Record 10
! Nb3VMo6 GGA-PBE relaxed; values from VASP
! - space group = No. 12
! - raw total energy (eV for the cell shown) = -99.9
&SYSTEM
  ibrav = 0, nat = 10, ntyp = 3
/
ATOMIC_SPECIES
Mo 95.94 Mo.upf
Nb 92.91 Nb.upf
V 50.94 V.upf
CELL_PARAMETERS angstrom
9.705 0.549 0.388
4.945 4.646 0.139
4.945 1.684 4.332
ATOMIC_POSITIONS angstrom
Mo 8.083 4.779 3.376
Nb 4.735 1.703 1.203
Nb 0.000 0.000 0.000
Mo 7.495 3.607 0.997
Nb 14.861 5.176 3.656
Mo 12.100 4.733 1.793
Mo 12.100 3.272 3.862
Mo 11.512 2.099 1.483
Mo 7.495 2.145 3.066
V 9.798 3.439 2.430

Record 11
! Rb3Np2HgSe6 GGA-PBE relaxed; values from VASP
! - space group = No. 12
! - raw total energy (eV for the cell shown) = -62.3
&SYSTEM
  ibrav = 0, nat = 12, ntyp = 4
/
ATOMIC_SPECIES
Se 78.96 Se.upf
Np 237.00 Np.upf
Hg 200.59 Hg.upf
Rb 85.47 Rb.upf
CELL_PARAMETERS angstrom
-6.467 2.449 2.860
-0.005 -5.018 -5.552
2.205 -5.035 6.163
ATOMIC_POSITIONS angstrom
Se -4.237 -2.794 -0.775
Np -2.149 -2.541 -2.761
Se -4.280 -4.666 4.388
Se 0.013 -2.938 -0.917
Hg 0.000 0.000 0.000
Se -1.996 -7.304 1.416
Rb -2.133 -3.802 1.736
Se -0.030 -4.810 4.247
Rb -4.343 -1.249 4.612
Np -4.323 -0.028 0.070
Se -2.271 -0.299 2.056
Rb 0.076 -6.355 -1.140

Record 12
! Pr2Ho3Er2 GGA-PBE relaxed; values from VASP
! - E above lowest polymorph (meV per atom) = 0
! - space group = No. 2
! - raw total energy (eV for the cell shown) = -32.3
&SYSTEM
  ibrav = 0, nat = 7, ntyp = 3
/
ATOMIC_SPECIES
Er 167.26 Er.upf
Ho 164.93 Ho.upf
Pr 140.91 Pr.upf
CELL_PARAMETERS angstrom
-0.228 -3.543 -0.380
4.263 0.806 6.714
-9.105 2.312 0.799
ATOMIC_POSITIONS angstrom
Er -4.179 -0.169 4.169
Ho -0.114 -1.772 -0.190
Ho -1.602 1.255 6.103
Pr 1.524 -2.387 4.578
Er -0.890 -0.257 2.964
Ho -3.467 -1.681 1.030
Pr -6.593 1.961 2.555

Record 13
! CaCr2In GGA-PBE relaxed; values from VASP
! - space group = No. 216
! - raw total energy (eV for the cell shown) = -22.7
&SYSTEM
  ibrav = 0, nat = 4, ntyp = 3
/
ATOMIC_SPECIES
Cr 52.00 Cr.upf
Ca 40.08 Ca.upf
In 114.82 In.upf
CELL_PARAMETERS angstrom
4.890 0.000 0.000
2.445 4.235 0.000
2.445 1.412 3.993
ATOMIC_POSITIONS angstrom
Cr 0.000 0.000 0.000
Ca 4.890 2.823 1.996
In 7.336 4.235 2.995
Cr 2.445 1.412 0.998

Record 14
! KZn2Ga2 GGA-PBE relaxed; values from VASP
! - E above lowest polymorph (meV per atom) = 19
! - space group = No. 74
! - raw total energy (eV for the cell shown) = -19.6
&SYSTEM
  ibrav = 0, nat = 10, ntyp = 3
/
ATOMIC_SPECIES
Zn 65.41 Zn.upf
Ga 69.72 Ga.upf
K 39.10 K.upf
CELL_PARAMETERS angstrom
4.435 0.000 -0.852
-0.174 4.617 -0.907
-0.155 -0.214 11.164
ATOMIC_POSITIONS angstrom
Zn 2.327 1.316 0.142
Ga 2.473 3.872 0.906
Ga 1.144 0.013 5.958
Zn 1.779 3.086 9.264
K 3.523 2.584 6.371
Ga 1.632 0.530 8.499
Zn 4.101 0.796 9.379
Ga 2.961 4.389 3.447
Zn 0.005 3.606 0.027
K 0.583 1.818 3.034

Record 15
! RbAc2Ru GGA-PBE relaxed; values from VASP
! - E above lowest polymorph (meV per atom) = 139
! - space group = No. 123
! - raw total energy (eV for the cell shown) = -18.1
&SYSTEM
  ibrav = 0, nat = 4, ntyp = 3
/
ATOMIC_SPECIES
Rb 85.47 Rb.upf
Ac 227.00 Ac.upf
Ru 101.07 Ru.upf
CELL_PARAMETERS angstrom
3.767 0.000 0.000
0.000 3.767 0.000
0.000 0.000 11.569
ATOMIC_POSITIONS angstrom
Rb 1.884 1.884 5.784
Ac 0.000 0.000 1.757
Ac 0.000 0.000 9.812
Ru 1.884 1.884 0.000

Record 16
! B2OsBr GGA-PBE relaxed; values from VASP
! - E above lowest polymorph (meV per atom) = 1242
! - space group = No. 225
! - raw total energy (eV for the cell shown) = -17.9
&SYSTEM
  ibrav = 0, nat = 4, ntyp = 3
/
ATOMIC_SPECIES
Os 190.23 Os.upf
Br 79.90 Br.upf
B 10.81 B.upf
CELL_PARAMETERS angstrom
0.000 2.859 2.859
2.859 0.000 2.859
2.859 2.859 0.000
ATOMIC_POSITIONS angstrom
Os 2.859 2.859 2.859
Br 0.000 0.000 0.000
B 1.429 1.429 1.429
B 4.288 4.288 4.288

Record 17
! ReHg2Sb GGA-PBE relaxed; values from VASP
! - space group = No. 65
! - raw total energy (eV for the cell shown) = -13.6
&SYSTEM
  ibrav = 0, nat = 4, ntyp = 3
/
ATOMIC_SPECIES
Sb 121.76 Sb.upf
Hg 200.59 Hg.upf
Re 186.21 Re.upf
CELL_PARAMETERS angstrom
-2.353 4.841 1.094
-2.916 -3.161 -3.416
-1.412 -1.212 2.326
ATOMIC_POSITIONS angstrom
Sb -2.164 -2.186 -0.545
Hg 0.000 0.000 0.000
Hg -2.635 0.840 -1.161
Re -1.882 1.815 1.710

Record 18
! K4Rb2Na9 GGA-PBE relaxed; values from VASP
! - space group = No. 2
! - raw total energy (eV for the cell shown) = -17.7
&SYSTEM
  ibrav = 0, nat = 15, ntyp = 3
/
ATOMIC_SPECIES
Na 22.99 Na.upf
K 39.10 K.upf
Rb 85.47 Rb.upf
CELL_PARAMETERS angstrom
7.073 0.772 0.952
-2.928 5.028 0.020
3.892 2.211 21.348
ATOMIC_POSITIONS angstrom
Na 1.946 1.105 10.674
K 1.687 4.338 8.400
K 6.350 3.673 13.921
Rb 4.890 2.853 5.651
K 6.782 3.915 18.791
Rb 3.146 5.157 16.670
Na 5.246 6.438 7.907
Na 2.790 1.572 14.414
Na 2.741 4.946 12.207
K 1.254 4.095 3.531
Na 4.050 2.362 1.228
Na 0.652 0.385 1.677
Na 7.384 7.625 20.644
Na 5.295 3.065 10.115
Na 3.987 5.648 21.093

Record 19
! LaMgSc2 GGA-PBE relaxed; values from VASP
! - space group = No. 139
! - raw total energy (eV for the cell shown) = -18.7
&SYSTEM
  ibrav = 0, nat = 4, ntyp = 3
/
ATOMIC_SPECIES
Sc 44.96 Sc.upf
La 138.91 La.upf
Mg 24.30 Mg.upf
CELL_PARAMETERS angstrom
5.853 0.001 0.000
1.946 5.520 0.000
-3.900 -2.760 3.381
ATOMIC_POSITIONS angstrom
Sc 0.000 0.000 0.000
La 0.973 2.760 1.691
Mg 2.926 0.000 1.691
Sc 3.900 2.760 0.000

Record 20
! LaTc2Pt GGA-PBE relaxed; values from VASP
! - E above lowest polymorph (meV per atom) = 168
! - space group = No. 6
! - raw total energy (eV for the cell shown) = -31.5
&SYSTEM
  ibrav = 0, nat = 4, ntyp = 3
/
ATOMIC_SPECIES
La 138.91 La.upf
Tc 98.00 Tc.upf
Pt 195.08 Pt.upf
CELL_PARAMETERS angstrom
4.460 0.000 0.000
0.000 3.076 0.003
0.000 1.144 5.570
ATOMIC_POSITIONS angstrom
La 0.000 2.074 2.952
Tc 0.000 2.851 0.317
Tc 2.230 0.861 0.896
Pt 2.230 3.619 4.197

Record 21
! Nd4Ir2O GGA-PBE relaxed; values from VASP
! - space group = No. 139
! - raw total energy (eV for the cell shown) = -49.5
&SYSTEM
  ibrav = 0, nat = 7, ntyp = 3
/
ATOMIC_SPECIES
Ir 192.22 Ir.upf
Nd 144.24 Nd.upf
O 16.00 O.upf
CELL_PARAMETERS angstrom
-2.427 -4.088 0.454
0.647 0.142 4.730
-5.391 5.785 -1.847
ATOMIC_POSITIONS angstrom
Ir -2.502 -0.995 2.783
Nd -1.213 -2.044 0.227
O 0.000 0.000 0.000
Nd 0.323 0.071 2.365
Ir -4.669 2.833 0.553
Nd -4.835 0.421 3.060
Nd -2.336 1.417 0.277

Record 22
! GdAg2Pd GGA-PBE relaxed; values from VASP
! - space group = No. 123
! - raw total energy (eV for the cell shown) = -26.3
&SYSTEM
  ibrav = 0, nat = 4, ntyp = 3
/
ATOMIC_SPECIES
Ag 107.87 Ag.upf
Gd 157.25 Gd.upf
Pd 106.42 Pd.upf
CELL_PARAMETERS angstrom
-2.239 4.114 1.425
-3.605 -1.665 -0.858
-0.236 -1.442 3.791
ATOMIC_POSITIONS angstrom
Ag -0.118 -0.721 1.896
Gd -3.040 0.504 2.179
Ag -1.803 -0.832 -0.429
Pd -1.119 2.057 0.713

Record 23
! KMn3Br GGA-PBE relaxed; values from VASP
! - E above lowest polymorph (meV per atom) = 705
! - space group = No. 221
! - raw total energy (eV for the cell shown) = -21.1
&SYSTEM
  ibrav = 0, nat = 5, ntyp = 3
/
ATOMIC_SPECIES
Mn 54.94 Mn.upf
K 39.10 K.upf
Br 79.90 Br.upf
CELL_PARAMETERS angstrom
6.066 0.000 0.000
0.000 6.066 0.000
0.000 0.000 6.066
ATOMIC_POSITIONS angstrom
Mn 3.033 0.000 0.000
Mn 0.000 0.000 3.033
Mn 0.000 3.033 0.000
K 0.000 0.000 0.000
Br 3.033 3.033 3.033

Record 24
! SiBr3 GGA-PBE relaxed; values from VASP
! - E above lowest polymorph (meV per atom) = 930
! - space group = No. 65
! - raw total energy (eV for the cell shown) = -9.7
&SYSTEM
  ibrav = 0, nat = 4, ntyp = 2
/
ATOMIC_SPECIES
Br 79.90 Br.upf
Si 28.09 Si.upf
CELL_PARAMETERS angstrom
3.409 -0.009 0.000
-0.669 3.343 0.000
0.000 0.000 10.819
ATOMIC_POSITIONS angstrom
Br 0.000 0.000 4.412
Br 1.370 1.667 8.115
Br 0.000 0.000 0.998
Si 1.370 1.667 2.705